(1)
## Na2PPtO4 (PBE-GGA)

Data for Na2PPtO4 after structural relaxation.

```
Na2PPtO4
1.0
5.920 0.000 0.000
0.000 5.920 0.000
0.000 0.000 6.008
Na P Pt O
4 2 2 8
Direct
0.000 0.000 0.000
0.000 0.500 0.250
0.500 0.000 0.750
0.500 0.500 0.500
0.000 0.500 0.750
0.500 0.000 0.250
0.000 0.000 0.500
0.500 0.500 0.000
0.145 0.343 0.595
0.157 0.645 0.905
0.343 0.855 0.405
0.355 0.157 0.095
0.645 0.843 0.095
0.657 0.145 0.405
0.843 0.355 0.905
0.855 0.657 0.595
```

Calculated values
Energy relative to the elements, uncorrected: -1.506 eV/atom
Theoretical density: 5.30 Mg/m³
Space-group type: I-4, No. 82

(2)
## Tl2Cu3 (PBE-GGA)

Data for Tl2Cu3 after structural relaxation.

```
Tl2Cu3
1.0
4.146 0.000 0.000
-2.073 3.591 0.000
0.000 0.000 6.971
Tl Cu
2 3
Direct
0.333 0.667 0.168
0.667 0.333 0.832
0.000 0.000 0.500
0.333 0.667 0.575
0.667 0.333 0.425
```

Calculated values
Theoretical density: 9.59 Mg/m³
Space-group type: P-3m1, No. 164
ΔE_f: 0.228 eV/atom

(3)
## HoTlH (PBE-GGA)

Data for HoTlH after structural relaxation.

```
HoTlH
1.0
5.633 0.000 0.000
0.000 3.539 0.000
-0.230 0.000 6.035
Ho Tl H
2 2 2
Direct
0.128 0.250 0.279
0.872 0.750 0.721
0.379 0.250 0.794
0.621 0.750 0.206
0.123 0.750 0.468
0.877 0.250 0.532
```

Calculated values
Theoretical density: 10.22 Mg/m³
Space-group type: P2_1/m, No. 11
ΔE to the lowest computed polymorph: 1.45 kcal/mol of atoms